# SrCaAu3

A PBEsol-optimized structure of SrCaAu3 (meta-GGA SCAN, Alexandria).

a b c (Å): 5.2713 5.2713 5.2713
angles (deg): 90.00 90.00 90.00
Atoms (fractional coordinates):
Au: 0.0000 0.0000 0.5000
Au: 0.0000 0.5000 0.0000
Au: 0.5000 0.0000 0.0000
Sr: 0.5000 0.5000 0.5000
Ca: 0.0000 0.0000 0.0000

Summary:
Its crystal system is cubic. The value obtained for the formation energy is -0.395 eV/atom. For the volume, the calculation gives 146.5 Å³/cell. The calculation puts the density of states at the Fermi level at 1.4 states/eV per cell. The calculated density comes out at 8.147 g/cm³.